Compound: Pm4Nd
Source: Alexandria
Functional: PBE
Structure: relaxed

Lattice parameters (Å, degrees): 3.6580 3.6580 15.0566 83.04 83.04 59.91
Closest atoms and distances in Å follow each position.
Positions (direct):
Pm 0.1998 0.1998 0.4002  12 Pm 3.64-3.66
Pm 0.6000 0.6000 0.2009  9 Pm 3.64-3.66, 3 Nd 3.66-3.67
Pm 0.4000 0.4000 0.7991  9 Pm 3.64-3.66, 3 Nd 3.66-3.67
Pm 0.8002 0.8002 0.5998  12 Pm 3.64-3.66
Nd 0.0000 0.0000 0.0000  6 Nd 3.65-3.66, 6 Pm 3.66-3.67

## Properties
D(E_F) = 1.3220 states/eV per atom
ΔE_f = 10 meV/atom
E = -0.174 Ha/atom
Magnetic moment = 0.00 Bohr magnetons per cell



Compound: PmNd3
Source: Alexandria
Functional: PBE
Structure: relaxed

Lattice parameters (Å, degrees): 5.8329 5.8329 5.8329 60.00 60.00 60.00
Closest atoms and distances in Å follow each position.
Positions (direct):
Nd 0.2500 0.2500 0.2500  4 Nd 3.57, 4 Pm 3.57
Nd 0.0000 0.0000 0.0000  8 Nd 3.57
Nd 0.7500 0.7500 0.7500  4 Nd 3.57, 4 Pm 3.57
Pm 0.5000 0.5000 0.5000  8 Nd 3.57

## Properties
D(E_F) = 2.7711 states/eV per atom
ΔE_f = 134 meV/atom
E = -0.170 Ha/atom
Magnetic moment = 0.00 Bohr magnetons per cell



Compound: PmNd
Source: Alexandria
Functional: PBE
Structure: relaxed

Lattice parameters (Å, degrees): 4.1258 4.1258 4.1258 90.00 90.00 90.00
Closest atoms and distances in Å follow each position.
Positions (direct):
Nd 0.5000 0.5000 0.5000  8 Pm 3.57
Pm 0.0000 0.0000 0.0000  8 Nd 3.57

## Properties
D(E_F) = 2.5128 states/eV per atom
ΔE_f = 140 meV/atom
E = -0.170 Ha/atom
Magnetic moment = 0.69 Bohr magnetons per cell



Compound: PmNd6
Source: Alexandria
Functional: PBE
Structure: relaxed

Lattice parameters (Å, degrees): 7.1212 7.1212 7.1212 109.47 109.47 109.47
Closest atoms and distances in Å follow each position.
Positions (direct):
Nd 0.5000 0.7500 0.2500  4 Nd 2.91
Nd 0.2500 0.5000 0.7500  4 Nd 2.91
Nd 0.7500 0.2500 0.5000  4 Nd 2.91
Nd 0.2500 0.7500 0.5000  4 Nd 2.91
Nd 0.5000 0.2500 0.7500  4 Nd 2.91
Nd 0.7500 0.5000 0.2500  4 Nd 2.91
Pm 0.0000 0.0000 0.0000  24 Nd 4.60

## Properties
D(E_F) = 0.7941 states/eV per atom
ΔE_f = 1170 meV/atom
E = -0.132 Ha/atom
Magnetic moment = 0.00 Bohr magnetons per cell



Compound: Pm2Nd3
Source: Alexandria
Functional: PBE
Structure: relaxed

Lattice parameters (Å, degrees): 5.4874 6.3243 6.3243 73.02 64.29 64.29
Closest atoms and distances in Å follow each position.
Positions (direct):
Pm 0.8055 0.6945 0.6945  1 Pm 3.33, 6 Nd 3.41-3.57
Pm 0.1945 0.3055 0.3055  1 Pm 3.33, 6 Nd 3.41-3.57
Nd 0.5000 0.2913 0.7087  3 Nd 3.14-3.51, 2 Pm 3.41
Nd 0.0000 0.0000 0.0000  4 Nd 3.51, 4 Pm 3.79
Nd 0.5000 0.7087 0.2913  3 Nd 3.14-3.51, 2 Pm 3.41

## Properties
D(E_F) = 1.7999 states/eV per atom
ΔE_f = 174 meV/atom
E = -0.169 Ha/atom
Magnetic moment = 0.00 Bohr magnetons per cell



Compound: Pm3Nd4
Source: Alexandria
Functional: PBE
Structure: relaxed

Lattice parameters (Å, degrees): 5.1876 6.3543 8.2107 82.64 90.00 114.09
Closest atoms and distances in Å follow each position.
Positions (direct):
Pm 0.2856 0.5712 0.1421  5 Pm 3.66-3.67, 7 Nd 3.66-3.68
Pm 0.0000 0.0000 0.0000  6 Nd 3.66-3.67, 6 Pm 3.66-3.67
Pm 0.7144 0.4288 0.8579  5 Pm 3.66-3.67, 7 Nd 3.66-3.68
Nd 0.8570 0.7139 0.4282  8 Nd 3.67-3.68, 4 Pm 3.67-3.68
Nd 0.5713 0.1427 0.2846  6 Pm 3.66-3.67, 6 Nd 3.67-3.69
Nd 0.1430 0.2861 0.5718  8 Nd 3.67-3.68, 4 Pm 3.67-3.68
Nd 0.4287 0.8573 0.7154  6 Pm 3.66-3.67, 6 Nd 3.67-3.69

## Properties
D(E_F) = 1.5688 states/eV per atom
ΔE_f = 12 meV/atom
E = -0.174 Ha/atom
Magnetic moment = 0.00 Bohr magnetons per cell



Compound: Pm3Nd
Source: Alexandria
Functional: PBE
Structure: relaxed

Lattice parameters (Å, degrees): 6.3602 7.3438 11.8531 90.00 90.00 90.00
Closest atoms and distances in Å follow each position.
Positions (direct):
Pm 0.7503 0.1250 0.5003  9 Pm 3.64-3.68, 3 Nd 3.64-3.65
Pm 0.9165 0.8748 0.2500  8 Pm 3.64-3.67, 4 Nd 3.67-3.68
Pm 0.7497 0.6250 0.0003  9 Pm 3.64-3.68, 3 Nd 3.64-3.65
Pm 0.0835 0.1252 0.7500  8 Pm 3.64-3.67, 4 Nd 3.67-3.68
Pm 0.2503 0.3750 0.5003  9 Pm 3.64-3.68, 3 Nd 3.64-3.65
Pm 0.4165 0.6252 0.2500  8 Pm 3.64-3.67, 4 Nd 3.67-3.68
Pm 0.5835 0.3748 0.7500  8 Pm 3.64-3.67, 4 Nd 3.67-3.68
Pm 0.2497 0.8750 0.0003  9 Pm 3.64-3.68, 3 Nd 3.64-3.65
Pm 0.2503 0.3750 0.9997  9 Pm 3.64-3.68, 3 Nd 3.64-3.65
Pm 0.2497 0.8750 0.4997  9 Pm 3.64-3.68, 3 Nd 3.64-3.65
Pm 0.7503 0.1250 0.9997  9 Pm 3.64-3.68, 3 Nd 3.64-3.65
Pm 0.7497 0.6250 0.4997  9 Pm 3.64-3.68, 3 Nd 3.64-3.65
Nd 0.9169 0.3752 0.2500  10 Pm 3.64-3.68, 2 Nd 3.67
Nd 0.0831 0.6248 0.7500  10 Pm 3.64-3.68, 2 Nd 3.67
Nd 0.5831 0.8752 0.7500  10 Pm 3.64-3.68, 2 Nd 3.67
Nd 0.4169 0.1248 0.2500  10 Pm 3.64-3.68, 2 Nd 3.67

## Properties
D(E_F) = 1.1917 states/eV per atom
ΔE_f = 3 meV/atom
E = -0.175 Ha/atom
Magnetic moment = 0.00 Bohr magnetons per cell



Compound: PmNd5
Source: Alexandria
Functional: PBE
Structure: relaxed

Lattice parameters (Å, degrees): 5.2153 7.3419 11.0102 90.00 90.00 90.00
Closest atoms and distances in Å follow each position.
Positions (direct):
Nd 0.2500 0.8746 0.4164  10 Nd 3.66-3.69, 2 Pm 3.68
Nd 0.7500 0.1254 0.5836  10 Nd 3.66-3.69, 2 Pm 3.68
Nd 0.2500 0.3753 0.4167  9 Nd 3.67-3.68, 3 Pm 3.67-3.68
Nd 0.2500 0.3753 0.0833  9 Nd 3.67-3.68, 3 Pm 3.67-3.68
Nd 0.7500 0.6247 0.9167  9 Nd 3.67-3.68, 3 Pm 3.67-3.68
Nd 0.7500 0.1251 0.2500  2 Pm 3.67-3.68, 10 Nd 3.67-3.68
Nd 0.7500 0.1254 0.9164  10 Nd 3.66-3.69, 2 Pm 3.68
Nd 0.7500 0.6247 0.5833  9 Nd 3.67-3.68, 3 Pm 3.67-3.68
Nd 0.2500 0.8746 0.0836  10 Nd 3.66-3.69, 2 Pm 3.68
Nd 0.2500 0.8749 0.7500  2 Pm 3.67-3.68, 10 Nd 3.67-3.68
Pm 0.2500 0.3755 0.7500  12 Nd 3.67-3.68
Pm 0.7500 0.6245 0.2500  12 Nd 3.67-3.68

## Properties
D(E_F) = 1.5566 states/eV per atom
ΔE_f = 12 meV/atom
E = -0.175 Ha/atom
Magnetic moment = 0.00 Bohr magnetons per cell



Compound: Pm8Nd3
Source: Alexandria
Functional: PBE
Structure: relaxed

Lattice parameters (Å, degrees): 7.2832 7.2832 7.2832 85.81 85.81 85.81
Closest atoms and distances in Å follow each position.
Positions (direct):
Pm 0.8544 0.1110 0.6943  2 Nd 3.21-3.28
Pm 0.1110 0.6943 0.8544  2 Nd 3.21-3.28
Pm 0.3780 0.3780 0.3780  3 Nd 2.93
Pm 0.3057 0.1456 0.8890  2 Nd 3.21-3.28
Pm 0.6220 0.6220 0.6220  3 Nd 2.93
Pm 0.8890 0.3057 0.1456  2 Nd 3.21-3.28
Pm 0.6943 0.8544 0.1110  2 Nd 3.21-3.28
Pm 0.1456 0.8890 0.3057  2 Nd 3.21-3.28
Nd 0.0000 0.5000 0.5000  4 Pm 2.93-3.21
Nd 0.5000 0.0000 0.5000  4 Pm 2.93-3.21
Nd 0.5000 0.5000 0.0000  4 Pm 2.93-3.21

## Properties
D(E_F) = 1.3664 states/eV per atom
ΔE_f = 457 meV/atom
E = -0.158 Ha/atom
Magnetic moment = 0.00 Bohr magnetons per cell



Compound: Pm8Nd3
Source: Alexandria
Functional: PBE
Structure: relaxed

Lattice parameters (Å, degrees): 5.1598 6.3550 13.2005 103.82 90.00 113.95
Closest atoms and distances in Å follow each position.
Positions (direct):
Pm 0.8180 0.6361 0.7272  8 Pm 3.65-3.67, 4 Nd 3.66-3.67
Pm 0.6365 0.2731 0.4546  7 Pm 3.65-3.67, 5 Nd 3.66-3.67
Pm 0.5454 0.0909 0.8183  4 Nd 3.65, 8 Pm 3.66-3.67
Pm 0.7272 0.4543 0.0909  8 Pm 3.65-3.67, 4 Nd 3.66-3.67
Pm 0.4546 0.9091 0.1817  4 Nd 3.65, 8 Pm 3.66-3.67
Pm 0.2728 0.5457 0.9091  8 Pm 3.65-3.67, 4 Nd 3.66-3.67
Pm 0.1820 0.3639 0.2728  8 Pm 3.65-3.67, 4 Nd 3.66-3.67
Pm 0.3635 0.7269 0.5454  7 Pm 3.65-3.67, 5 Nd 3.66-3.67
Nd 0.0908 0.1816 0.6366  11 Pm 3.65-3.67, 1 Nd 3.67
Nd 0.9092 0.8184 0.3634  11 Pm 3.65-3.67, 1 Nd 3.67
Nd 0.0000 0.0000 0.0000  12 Pm 3.65-3.67

## Properties
D(E_F) = 1.5324 states/eV per atom
ΔE_f = 13 meV/atom
E = -0.174 Ha/atom
Magnetic moment = 0.00 Bohr magnetons per cell



Compound: Pm5Nd
Source: Alexandria
Functional: PBE
Structure: relaxed

Lattice parameters (Å, degrees): 5.1778 7.3084 10.9513 90.00 90.00 90.00
Closest atoms and distances in Å follow each position.
Positions (direct):
Pm 0.7500 0.1248 0.9169  10 Pm 3.65-3.66, 2 Nd 3.66
Pm 0.7500 0.1248 0.5831  10 Pm 3.65-3.66, 2 Nd 3.66
Pm 0.7500 0.6253 0.9166  9 Pm 3.65-3.66, 3 Nd 3.65-3.66
Pm 0.2500 0.8753 0.7500  10 Pm 3.65-3.66, 2 Nd 3.65-3.66
Pm 0.7500 0.1247 0.2500  10 Pm 3.65-3.66, 2 Nd 3.65-3.66
Pm 0.2500 0.8752 0.0831  10 Pm 3.65-3.66, 2 Nd 3.66
Pm 0.2500 0.3747 0.4166  9 Pm 3.65-3.66, 3 Nd 3.65-3.66
Pm 0.7500 0.6253 0.5834  9 Pm 3.65-3.66, 3 Nd 3.65-3.66
Pm 0.2500 0.3747 0.0834  9 Pm 3.65-3.66, 3 Nd 3.65-3.66
Pm 0.2500 0.8752 0.4169  10 Pm 3.65-3.66, 2 Nd 3.66
Nd 0.7500 0.6251 0.2500  12 Pm 3.65-3.66
Nd 0.2500 0.3749 0.7500  12 Pm 3.65-3.66

## Properties
D(E_F) = 1.5185 states/eV per atom
ΔE_f = 13 meV/atom
E = -0.174 Ha/atom
Magnetic moment = 0.00 Bohr magnetons per cell